An optimized crystal structure of KBeSbPd, computed with PBE.

Its energy above the most stable polymorph in this dataset is 0 meV per atom. Its crystal system is cubic.

The space group is F-43m (No. 216) and the conventional cell measures 6.8553, 6.8553 and 6.8553 Å, with angles of 90.00, 90.00 and 90.00 degrees. The inequivalent atoms are K at (0.0000, 0.0000, 0.0000), Be at (0.2500, 0.2500, 0.7500), Sb at (0.0000, 0.0000, 0.5000) and Pd at (0.2500, 0.2500, 0.2500).